Ca2Ga5NiRh2 after structural relaxation, computed with GGA-PBE.

Structure (POSCAR):
```
Ca2Ga5NiRh2
1.0
10.1349 0.0000 0.0000
0.0000 10.1349 0.0000
0.0000 0.0000 3.4503
Ca Ga Ni Rh
4 10 2 4
Cartesian
1.8412 3.2263 0.0000 Ca
3.2263 8.2937 0.0000 Ca
6.9086 1.8412 0.0000 Ca
8.2937 6.9086 0.0000 Ca
0.0000 5.0674 1.7252 Ga
0.5367 8.2656 1.7252 Ga
1.8693 0.5367 1.7252 Ga
3.1981 5.6041 1.7252 Ga
4.5308 3.1981 1.7252 Ga
5.0674 0.0000 1.7252 Ga
5.6041 6.9367 1.7252 Ga
6.9367 4.5308 1.7252 Ga
8.2656 9.5982 1.7252 Ga
9.5982 1.8693 1.7252 Ga
0.0000 0.0000 0.0000 Ni
5.0674 5.0674 0.0000 Ni
1.2450 6.3125 0.0000 Rh
3.8224 1.2450 0.0000 Rh
6.3125 8.8899 0.0000 Rh
8.8899 3.8224 0.0000 Rh
```

* uncorrected energy: -88.37 eV for the cell shown

AgSnSe3 after structural relaxation, computed with GGA-PBE.

Structure (POSCAR):
```
AgSnSe3
1.0
5.0921 0.0000 0.0000
0.0000 5.0921 0.0000
0.0000 0.0000 5.0921
Ag Sn Se
1 1 3
Cartesian
0.0000 0.0000 0.0000 Ag
2.5461 2.5461 2.5461 Sn
0.0000 0.0000 2.5461 Se
0.0000 2.5461 0.0000 Se
2.5461 0.0000 0.0000 Se
```

* uncorrected energy: -15.72 eV for the cell shown
* energy above the most stable polymorph in this dataset: 47.2 kJ per mole of atoms
* energy relative to the elements, uncorrected: 1.6 eV per formula unit

CeH7Rh2 after structural relaxation, computed with GGA-PBE.

Structure (POSCAR):
```
CeH7Rh2
1.0
2.6150 -4.5448 0.0000
2.6150 4.5448 0.0000
0.0000 0.0000 3.6255
Ce H Rh
1 7 2
Cartesian
0.0000 0.0000 0.0000 Ce
0.9300 1.3177 1.8127 H
2.6150 1.6568 0.0000 H
0.9300 -1.3177 1.8127 H
2.6150 0.0000 1.8127 H
4.3001 1.3177 1.8127 H
2.6150 -1.6568 0.0000 H
4.3001 -1.3177 1.8127 H
2.6150 1.6846 1.8127 Rh
2.6150 -1.6846 1.8127 Rh
```

* uncorrected energy: -47.12 eV for the cell shown

Zn2Ga5Ag5 after structural relaxation, computed with GGA-PBE.

Structure (POSCAR):
```
Zn2Ga5Ag5
1.0
5.9811 -2.3608 0.0000
5.9811 2.3608 0.0000
-2.2141 0.0000 7.7364
Zn Ga Ag
2 5 5
Cartesian
-0.4610 0.0000 2.7135 Zn
10.2091 0.0000 5.0229 Zn
2.2861 0.0000 4.7393 Ga
4.8715 0.0000 0.9320 Ga
4.8741 0.0000 3.8682 Ga
4.8766 0.0000 6.8043 Ga
7.4620 0.0000 2.9971 Ga
0.0000 0.0000 0.0000 Ag
0.4783 0.0000 6.8705 Ag
2.2326 0.0000 2.0310 Ag
7.5155 0.0000 5.7053 Ag
9.2698 0.0000 0.8659 Ag
```

* uncorrected energy: -31.68 eV for the cell shown